The following is a GGA-PBEsol calculation of an optimized crystal structure of MnRu2Br, from Alexandria.

Cell lengths 5.2263, 5.2263, 5.2263 Å; angles 147.95, 130.22, 60.45 degrees
With the nearest neighbours (Å) after each atom.
Atoms (fractional coordinates):
Mn  0.0000  0.0000  0.0000  4 Br 2.63, 4 Ru 2.84, 2 Mn 2.89
Ru  0.2710  0.7710  0.5000  2 Br 2.52, 4 Ru 2.66
Ru  0.7290  0.2290  0.5000  2 Br 2.52, 4 Ru 2.66
Br  0.5000  0.5000  0.0000  4 Ru 2.52, 4 Mn 2.63

**DOS at the Fermi energy**: 0.94 states/eV/atom
**ΔE to the lowest computed polymorph**: 0.007 eV per atom
**Uncorrected formation energy**: 17.37 kcal/mol of atoms